[1]
First-principles (PBE) data for an optimized crystal structure of SrYTe2, as listed in the Alexandria database.

The structure in POSCAR format:
```
SrYTe2
1.0
2.2402 1.2934 9.8431
-2.2402 1.2934 9.8431
0.0000 -2.5868 9.8431
Sr Y Te
1 1 2
direct
0.0000 0.0000 0.0000
0.5000 0.5000 0.5000
0.1087 0.1087 0.1087
0.8913 0.8913 0.8913
```

## Properties
ΔE to the lowest computed polymorph   357 meV/atom
Raw total energy   -19.03 eV/f.u.
E_form (uncorrected)   -1.150 eV/atom
SG   R-3m (166)



[2]
First-principles (PBE) data for an optimized crystal structure of Ba3Nd2UN6, as listed in the Alexandria database.

The structure in POSCAR format:
```
Ba3Nd2UN6
1.0
3.2102 -5.5413 0.0000
3.2102 5.5413 0.0000
-2.0914 0.0000 6.4188
Ba Nd U N
3 2 1 6
direct
0.0000 0.0000 0.0000
0.3319 0.6681 0.0000
0.6681 0.3319 0.0000
0.1660 0.8340 0.5000
0.8340 0.1660 0.5000
0.5000 0.5000 0.5000
0.1447 0.4366 0.3125
0.2655 0.2655 0.7041
0.4366 0.1447 0.3125
0.5634 0.8553 0.6875
0.7345 0.7345 0.2959
0.8553 0.5634 0.6875
```

## Properties
Raw total energy   -88.77 eV/f.u.
E_form (uncorrected)   -1.019 eV/atom
SG   C2/m (12)



[3]
First-principles (PBE) data for an optimized crystal structure of YAsRu2, as listed in the Alexandria database.

The structure in POSCAR format:
```
YAsRu2
1.0
-1.6075 2.4764 4.3679
1.6075 -2.4764 4.3679
1.6075 2.4764 -4.3679
Y As Ru
1 1 2
direct
0.0000 0.0000 0.0000
0.5000 0.5000 0.0000
0.2823 0.7823 0.5000
0.7177 0.2177 0.5000
```

## Properties
Raw total energy   -30.23 eV/f.u.
Calculated formation energy   -0.14 eV per atom
SG   Immm (71)



[4]
First-principles (PBE) data for an optimized crystal structure of Sm2Er2Hg7, as listed in the Alexandria database.

The structure in POSCAR format:
```
Sm2Er2Hg7
1.0
3.6206 -5.6858 0.0000
3.6206 5.6858 0.0000
0.0000 0.0000 7.8135
Sm Er Hg
2 2 7
direct
0.2454 0.2454 0.0000
0.7546 0.7546 0.0000
0.2651 0.7349 0.5000
0.7349 0.2651 0.5000
0.0000 0.0000 0.5000
0.0000 0.5000 0.1897
0.0000 0.5000 0.8103
0.5000 0.0000 0.1897
0.5000 0.0000 0.8103
0.5000 0.5000 0.3123
0.5000 0.5000 0.6877
```

## Properties
Raw total energy   -22.24 eV/f.u.
Calculated formation energy   -0.14 eV per atom
SG   Cmmm (65)



[5]
First-principles (PBE) data for an optimized crystal structure of La2Nd12Er5, as listed in the Alexandria database.

The structure in POSCAR format:
```
La2Nd12Er5
1.0
8.1345 -5.0458 0.0000
8.1345 5.0458 0.0000
-0.0733 0.0000 8.0544
La Nd Er
2 12 5
direct
0.2150 0.7850 0.0000
0.7850 0.2150 0.0000
0.0387 0.5780 0.2085
0.1636 0.1636 0.1248
0.1673 0.6210 0.6114
0.3790 0.8327 0.3886
0.4220 0.9613 0.7915
0.4486 0.4486 0.2870
0.5514 0.5514 0.7130
0.5780 0.0387 0.2085
0.6210 0.1673 0.6114
0.8327 0.3790 0.3886
0.8364 0.8364 0.8752
0.9613 0.4220 0.7915
0.0000 0.0000 0.5000
0.2480 0.2480 0.4916
0.3524 0.3524 0.9162
0.6476 0.6476 0.0838
0.7520 0.7520 0.5084
```

## Properties
ΔE to the lowest computed polymorph   0 meV/atom
Raw total energy   -87.53 eV/f.u.
Calculated formation energy   0.12 eV per atom
SG   C2/m (12)



[6]
First-principles (PBE) data for an optimized crystal structure of Mg4NiPd, as listed in the Alexandria database.

The structure in POSCAR format:
```
Mg4NiPd
1.0
3.0978 0.0000 0.0000
0.0000 3.0978 0.0000
0.0000 0.0000 11.0884
Mg Ni Pd
4 1 1
direct
0.0000 0.0000 0.1356
0.0000 0.0000 0.8644
0.5000 0.5000 0.3518
0.5000 0.5000 0.6482
0.5000 0.5000 0.0000
0.0000 0.0000 0.5000
```

## Properties
ΔE to the lowest computed polymorph   0 meV/atom
Raw total energy   -19.25 eV/f.u.
Calculated formation energy   -0.32 eV per atom
SG   P4/mmm (123)